DFT (PBE) results for a relaxed LaY2ScW crystal.

Cell lengths 5.2614, 5.3518, 5.2614 Å; angles 90.00, 90.00, 90.00 degrees
With the nearest neighbours (Å) after each atom.
Fractional coordinates of all 5 atoms:
Y 0.0000 0.0000 0.5000  2 Sc 2.63
Y 0.5000 0.0000 0.0000  2 Sc 2.63
Sc 0.0000 0.0000 0.0000  4 Y 2.63, 2 La 2.68
W 0.5000 0.5000 0.5000  4 La 3.72, 8 Y 3.75
La 0.0000 0.5000 0.0000  2 Sc 2.68

Computed properties:
Space-group type   P4/mmm
Theoretical density   6.1 g/cm³
Formation energy from the elements   1.64 eV/atom
Density of states at the Fermi level   2.20 states/eV per atom



DFT (PBE) results for a relaxed Sm2Tm2Sc7 crystal.

Cell lengths 9.6276, 6.3029, 6.3029 Å; angles 121.17, 101.26, 101.26 degrees
With the nearest neighbours (Å) after each atom.
Fractional coordinates of all 11 atoms:
Sm 0.5000 0.2009 0.7991  4 Sc 3.14-3.26, 2 Sm 3.28
Sm 0.5000 0.7991 0.2009  4 Sc 3.14-3.26, 2 Sm 3.28
Tm 0.7918 0.3403 0.3403  7 Sc 3.21-3.44, 2 Sm 3.53
Tm 0.2082 0.6597 0.6597  7 Sc 3.21-3.44, 2 Sm 3.53
Sc 0.1585 0.0763 0.5181  5 Sc 2.94-3.23, 1 Sm 3.14, 2 Tm 3.21-3.27
Sc 0.8415 0.4819 0.9237  5 Sc 2.94-3.23, 1 Sm 3.14, 2 Tm 3.21-3.27
Sc 0.8415 0.9237 0.4819  5 Sc 2.94-3.23, 1 Sm 3.14, 2 Tm 3.21-3.27
Sc 0.1585 0.5181 0.0763  5 Sc 2.94-3.23, 1 Sm 3.14, 2 Tm 3.21-3.27
Sc 0.0000 0.0000 0.0000  6 Sc 3.06-3.26
Sc 0.6319 0.7427 0.7427  4 Sc 3.07-3.26, 2 Sm 3.26, 2 Tm 3.40-3.41
Sc 0.3681 0.2573 0.2573  4 Sc 3.07-3.26, 2 Sm 3.26, 2 Tm 3.40-3.41

Computed properties:
Space-group type   C2/m
Theoretical density   5.3 g/cm³
Formation energy from the elements   0.18 eV/atom
Density of states at the Fermi level   1.74 states/eV per atom



DFT (PBE) results for a relaxed Zr2ScAl crystal.

Cell lengths 3.1224, 3.1224, 8.8329 Å; angles 90.00, 90.00, 89.97 degrees
With the nearest neighbours (Å) after each atom.
Fractional coordinates of all 4 atoms:
Sc 0.5000 0.5000 0.7500  4 Sc 3.12, 8 Zr 3.27
Al 0.5000 0.5000 0.2500  8 Zr 2.98-2.99, 4 Al 3.12
Zr 0.0000 0.0000 0.0225  4 Al 2.98-2.99, 4 Zr 3.12, 4 Sc 3.27
Zr 0.0000 0.0000 0.4775  4 Al 2.98-2.99, 4 Zr 3.12, 4 Sc 3.27

Computed properties:
Space-group type   P4/mmm
Theoretical density   4.9 g/cm³
Formation energy from the elements   -0.21 eV/atom
Density of states at the Fermi level   1.34 states/eV per atom